## Mg30AlVO32 (PBE+U)

Data for an optimized crystal structure of Mg30AlVO32.

abc: 8.5457 8.5457 8.5495
angles: 90.00 90.00 90.00
Last column: nearest neighbours and their distance in Å.
Atoms (fractional coordinates):
1 Al 0.0000 0.0000 0.0000  6 O 2.00-2.01
2 Mg 0.5000 0.0000 0.5000  6 O 2.13-2.16
3 O 0.2339 0.0000 0.0000  1 Al 2.00, 4 Mg 2.14-2.15
4 O 0.0000 0.7526 0.5000  6 Mg 2.11-2.16
5 O 0.2497 0.2497 0.2494  6 Mg 2.13-2.14
6 Mg 0.2498 0.5000 0.2510  6 O 2.13-2.15
7 V 0.5000 0.5000 0.0000  6 O 2.18-2.20
8 Mg 0.7499 0.7499 0.0000  6 O 2.13-2.14
9 Mg 0.5000 0.0000 0.0000  6 O 2.08-2.27
10 Mg 0.2501 0.7499 0.0000  6 O 2.13-2.14
11 O 0.7526 0.0000 0.5000  6 Mg 2.11-2.16
12 O 0.2497 0.2497 0.7506  6 Mg 2.13-2.14
13 Mg 0.5000 0.2498 0.2510  6 O 2.13-2.15
14 O 0.5000 0.5000 0.2546  5 Mg 2.10-2.14, 1 V 2.18
15 O 0.2430 0.5000 0.0000  5 Mg 2.08-2.15, 1 V 2.20
16 O 0.0000 0.5000 0.2480  6 Mg 2.12-2.15
17 O 0.5000 0.7513 0.5000  6 Mg 2.13-2.15
18 Mg 0.7494 0.0000 0.2506  6 O 2.13-2.15
19 O 0.5000 0.0000 0.2480  6 Mg 2.12-2.15
20 O 0.0000 0.7661 0.0000  1 Al 2.00, 4 Mg 2.14-2.15
21 O 0.2497 0.7503 0.7506  6 Mg 2.13-2.14
22 Mg 0.7497 0.7497 0.5000  6 O 2.13-2.14
23 O 0.0000 0.0000 0.7655  1 Al 2.01, 4 Mg 2.15
24 O 0.7503 0.7503 0.2494  6 Mg 2.13-2.14
25 Mg 0.2503 0.7497 0.5000  6 O 2.13-2.14
26 Mg 0.0000 0.2506 0.7494  6 O 2.13-2.15
27 Mg 0.0000 0.0000 0.5000  6 O 2.11-2.27
28 Mg 0.0000 0.7494 0.7494  6 O 2.13-2.15
29 O 0.7661 0.0000 0.0000  1 Al 2.00, 4 Mg 2.14-2.15
30 Mg 0.2503 0.2503 0.5000  6 O 2.13-2.14
31 Mg 0.5000 0.2498 0.7490  6 O 2.13-2.15
32 Mg 0.7497 0.2503 0.5000  6 O 2.13-2.14
33 Mg 0.5000 0.5000 0.5000  6 O 2.10-2.15
34 O 0.7503 0.7503 0.7506  6 Mg 2.13-2.14
35 O 0.0000 0.0000 0.2345  1 Al 2.01, 4 Mg 2.15
36 Mg 0.2506 0.0000 0.2506  6 O 2.13-2.15
37 O 0.7570 0.5000 0.0000  5 Mg 2.08-2.15, 1 V 2.20
38 Mg 0.0000 0.5000 0.0000  6 O 2.08-2.27
39 O 0.5000 0.5000 0.7454  5 Mg 2.10-2.14, 1 V 2.18
40 O 0.5000 0.2487 0.5000  6 Mg 2.13-2.15
41 Mg 0.7499 0.2501 0.0000  6 O 2.13-2.14
42 O 0.7503 0.2497 0.7506  6 Mg 2.13-2.14
43 O 0.5000 0.0000 0.7520  6 Mg 2.12-2.15
44 O 0.0000 0.2474 0.5000  6 Mg 2.11-2.16
45 Mg 0.7494 0.0000 0.7494  6 O 2.13-2.15
46 Mg 0.2498 0.5000 0.7490  6 O 2.13-2.15
47 O 0.2487 0.5000 0.5000  6 Mg 2.13-2.15
48 O 0.2474 0.0000 0.5000  6 Mg 2.11-2.16
49 O 0.7513 0.5000 0.5000  6 Mg 2.13-2.15
50 O 0.0000 0.2339 0.0000  1 Al 2.00, 4 Mg 2.14-2.15
51 Mg 0.0000 0.7494 0.2506  6 O 2.13-2.15
52 O 0.2497 0.7503 0.2494  6 Mg 2.13-2.14
53 O 0.5000 0.7570 0.0000  5 Mg 2.08-2.15, 1 V 2.20
54 Mg 0.5000 0.7502 0.2510  6 O 2.13-2.15
55 O 0.0000 0.5000 0.7520  6 Mg 2.12-2.15
56 Mg 0.2506 0.0000 0.7494  6 O 2.13-2.15
57 Mg 0.2501 0.2501 0.0000  6 O 2.13-2.14
58 Mg 0.7502 0.5000 0.2510  6 O 2.13-2.15
59 Mg 0.0000 0.5000 0.5000  6 O 2.13-2.16
60 Mg 0.7502 0.5000 0.7490  6 O 2.13-2.15
61 Mg 0.0000 0.2506 0.2506  6 O 2.13-2.15
62 O 0.5000 0.2430 0.0000  5 Mg 2.08-2.15, 1 V 2.20
63 Mg 0.5000 0.7502 0.7490  6 O 2.13-2.15
64 O 0.7503 0.2497 0.2494  6 Mg 2.13-2.14

Output
VASP energy ... -6.039 eV per atom
Fermi-level density of states ... 2.045 states/eV/cell
ρ ... 3.508 Mg/m³
Spin magnetization ... 3.04 μB/cell